1.
A PBEsol-optimized structure of Li2CuSb2, computed with meta-GGA SCAN.

Structure (extended XYZ):
```
10
Lattice="-2.424 -3.314 -1.709 5.601 -3.818 -0.541 -1.064 -2.447 6.255" Properties=species:S:1:pos:R:3 pbc="T T T"
Sb 1.050 -3.408 5.120
Sb 4.061 -4.834 3.615
Sb 3.487 -2.857 0.594
Sb 0.477 -1.431 2.099
Cu 0.000 0.000 0.000
Cu 2.269 -3.132 2.857
Li -1.023 -3.876 3.181
Li 1.584 -6.231 4.050
Li 3.136 -5.703 0.824
Li 0.530 -3.348 -0.045
```

=====

2.
A PBEsol-optimized structure of Li2CuSb2, computed with meta-GGA SCAN.

Structure (extended XYZ):
```
10
Lattice="3.051 0.000 0.000 0.000 7.774 0.000 0.000 0.000 7.774" Properties=species:S:1:pos:R:3 pbc="T T T"
Sb 1.525 1.481 5.368
Sb 1.525 5.368 6.293
Sb 1.525 6.293 2.406
Sb 1.525 2.406 1.481
Cu 0.000 0.000 0.000
Cu 0.000 3.887 3.887
Li 0.000 3.017 6.903
Li 0.000 6.903 4.757
Li 0.000 4.757 0.870
Li 0.000 0.870 3.017
```

=====

So which one wins? Going from most stable to least: 1, 2.

=====

1.
A PBEsol-optimized structure of Li2ScCu, computed with meta-GGA SCAN.

Structure (extended XYZ):
```
4
Lattice="2.895 0.000 0.000 1.447 2.507 0.000 1.447 0.836 9.308" Properties=species:S:1:pos:R:3 pbc="T T T"
Cu 0.000 0.000 0.000
Li 1.447 0.836 1.987
Li 4.342 2.507 7.320
Sc 2.895 1.671 4.654
```

=====

2.
A PBEsol-optimized structure of Li2ScCu, computed with meta-GGA SCAN.

Structure (extended XYZ):
```
4
Lattice="4.500 0.000 0.000 2.250 3.897 0.000 2.250 1.299 3.674" Properties=species:S:1:pos:R:3 pbc="T T T"
Cu 4.500 2.598 1.837
Li 0.000 0.000 0.000
Li 6.749 3.897 2.755
Sc 2.250 1.299 0.918
```

=====

So which one wins? Going from most stable to least: 2, 1.

=====

1.
A PBEsol-optimized structure of LiCuSi2, computed with meta-GGA SCAN.

Structure (extended XYZ):
```
4
Lattice="-1.687 3.380 -1.862 -3.869 1.279 1.064 -0.514 3.568 2.178" Properties=species:S:1:pos:R:3 pbc="T T T"
Cu 0.000 0.000 0.000
Li -3.035 4.113 0.690
Si -1.518 2.057 0.345
Si -4.553 6.170 1.035
```

=====

2.
A PBEsol-optimized structure of LiCuSi2, computed with meta-GGA SCAN.

Structure (extended XYZ):
```
4
Lattice="3.682 0.000 0.000 0.000 3.681 0.000 -1.841 -1.841 3.757" Properties=species:S:1:pos:R:3 pbc="T T T"
Cu 1.841 0.000 0.000
Li 0.000 1.841 0.000
Si 1.841 1.841 1.878
Si 0.000 0.000 1.879
```

=====

So which one wins? Going from most stable to least: 2, 1.

=====

1.
A PBEsol-optimized structure of LiCuSi2, computed with meta-GGA SCAN.

Structure (extended XYZ):
```
4
Lattice="3.144 0.000 0.000 0.000 3.378 0.000 0.000 0.000 4.892" Properties=species:S:1:pos:R:3 pbc="T T T"
Cu 0.000 0.000 2.448
Li 1.572 1.689 3.656
Si 0.000 0.000 0.032
Si 1.572 1.689 1.202
```

=====

2.
A PBEsol-optimized structure of LiCuSi2, computed with meta-GGA SCAN.

Structure (extended XYZ):
```
4
Lattice="-2.030 -1.548 0.764 2.313 -1.632 2.841 -1.487 3.557 3.255" Properties=species:S:1:pos:R:3 pbc="T T T"
Cu 0.142 -1.590 1.802
Li 0.413 0.963 3.048
Si -2.122 1.874 2.805
Si -1.395 0.135 1.214
```

=====

So which one wins? Going from most stable to least: 2, 1.

=====

1.
A PBEsol-optimized structure of LiTa2Cu, computed with meta-GGA SCAN.

Structure (extended XYZ):
```
4
Lattice="-0.529 2.484 -2.952 0.212 -2.948 -2.519 -3.841 -0.503 0.265" Properties=species:S:1:pos:R:3 pbc="T T T"
Cu -2.079 -0.483 -2.602
Li -0.265 1.242 -1.476
Ta -1.920 -0.251 0.133
Ta 0.106 -1.474 -1.259
```

=====

2.
A PBEsol-optimized structure of LiTa2Cu, computed with meta-GGA SCAN.

Structure (extended XYZ):
```
4
Lattice="-1.841 1.730 -1.176 -0.941 -3.266 -3.331 -2.885 -0.521 3.749" Properties=species:S:1:pos:R:3 pbc="T T T"
Cu -0.920 0.865 -0.588
Li -2.833 -1.028 -0.379
Ta -0.471 -1.633 -1.666
Ta -1.442 -0.261 1.874
```

=====

So which one wins? Going from most stable to least: 1, 2.

=====

1.
A PBEsol-optimized structure of LiCu2Tc, computed with meta-GGA SCAN.

Structure (extended XYZ):
```
4
Lattice="2.450 0.000 0.005 0.000 4.370 0.000 -0.011 0.000 4.624" Properties=species:S:1:pos:R:3 pbc="T T T"
Cu 2.132 0.000 4.379
Cu 2.138 2.185 1.411
Li 0.919 0.000 2.040
Tc 0.907 2.185 3.741
```

=====

2.
A PBEsol-optimized structure of LiCu2Tc, computed with meta-GGA SCAN.

Structure (extended XYZ):
```
4
Lattice="-0.839 2.148 -0.959 -0.931 -1.241 -1.958 -6.893 -0.958 3.886" Properties=species:S:1:pos:R:3 pbc="T T T"
Cu -6.803 -0.946 3.835
Cu -6.131 -0.275 1.500
Li -3.532 -0.491 1.991
Tc -2.537 0.224 -0.527
```

=====

So which one wins? Going from most stable to least: 1, 2.